A relaxed AlB2Cl8 crystal, computed with GGA-PBE.

a = 5.7274 Å, b = 7.5262 Å, c = 7.5262 Å
α = 83.74°, β = 86.39°, γ = 86.39°
Each line ends with the local moment (μB).
Positions (direct):
B  0.6501  0.7965  0.7965  0.01
Cl  0.7543  0.7276  0.0312  0.06
Cl  0.7543  0.0312  0.7276  0.06
Cl  0.3221  0.8062  0.8062  0.03
Cl  0.2457  0.2724  0.9688  0.06
Cl  0.6779  0.1938  0.1938  0.03
Cl  0.7651  0.6424  0.6424  0.01
Cl  0.2457  0.9688  0.2724  0.06
Al  0.0000  0.0000  0.0000  0.29
Cl  0.2349  0.3576  0.3576  0.01
B  0.3499  0.2035  0.2035  0.01

## Properties
Spin magnetization ... 1.029 μB per formula unit
DOS at the Fermi energy ... 0.08 states/eV per atom
DFT total energy ... -3.756 eV per atom
ΔE_f (raw) ... -82.81 kJ/mol of atoms
Density ... 1.717 g cm⁻³

A relaxed Al2CoBCl crystal, computed with GGA-PBE.

a = 4.1020 Å, b = 4.8826 Å, c = 4.1020 Å
α = 90.00°, β = 90.00°, γ = 90.00°
Each line ends with the local moment (μB).
Positions (direct):
Al  0.0000  0.0000  0.5000  -0.02
B  0.0000  0.0000  0.0000  -0.01
Al  0.5000  0.0000  0.0000  -0.02
Cl  0.0000  0.5000  0.0000  0.01
Co  0.5000  0.5000  0.5000  1.85

## Properties
Spin magnetization ... 1.673 μB per formula unit
DOS at the Fermi energy ... 0.86 states/eV per atom
DFT total energy ... -3.867 eV per atom
ΔE_f (raw) ... 72.95 kJ/mol of atoms
Density ... 3.217 g cm⁻³

A relaxed AlInBCl2 crystal, computed with GGA-PBE.

a = 4.8938 Å, b = 4.6239 Å, c = 4.8938 Å
α = 90.00°, β = 90.00°, γ = 90.00°
Positions (direct):
In  0.0000  0.5000  0.0000
Cl  0.0000  0.0000  0.5000
B  0.0000  0.0000  0.0000
Cl  0.5000  0.0000  0.0000
Al  0.5000  0.5000  0.5000

## Properties
Spin magnetization ... 0.000 μB per formula unit
DOS at the Fermi energy ... 0.37 states/eV per atom
DFT total energy ... -2.957 eV per atom
ΔE_f (raw) ... 39.89 kJ/mol of atoms
Density ... 3.352 g cm⁻³

A relaxed Al2InBCl crystal, computed with GGA-PBE.

a = 4.0735 Å, b = 7.9551 Å, c = 4.0735 Å
α = 90.00°, β = 90.00°, γ = 90.00°
Positions (direct):
Al  0.0000  0.0000  0.5000
Al  0.5000  0.0000  0.0000
Cl  0.0000  0.5000  0.0000
In  0.5000  0.5000  0.5000
B  0.0000  0.0000  0.0000

## Properties
Spin magnetization ... 0.000 μB per formula unit
DOS at the Fermi energy ... 0.33 states/eV per atom
DFT total energy ... -3.504 eV per atom
ΔE_f (raw) ... 23.72 kJ/mol of atoms
Density ... 2.705 g cm⁻³

- Which of these has the lowest DFT total energy?
  Al2CoBCl

- Which formula does entry 1 have?
  AlB2Cl8